1.
First-principles (PBE) data for a relaxed structure of Sr2BeS3, as listed in Alexandria.

Summary:
* uncorrected formation energy: -1710 meV per atom
* raw total energy: -4.9551 eV per atom

Cell: 6.9799 6.9799 13.9012 Å, 91.44 91.44 125.76°
Sites, in units of the cell vectors:
1 Sr 0.0243 0.4292 0.3437
2 Sr 0.1403 0.3459 0.9270
3 Sr 0.3459 0.1403 0.4270
4 Sr 0.4292 0.0243 0.8437
5 Sr 0.5708 0.9757 0.1563
6 Sr 0.6541 0.8597 0.5730
7 Sr 0.8597 0.6541 0.0730
8 Sr 0.9757 0.5708 0.6563
9 Be 0.2658 0.2682 0.1624
10 Be 0.2682 0.2658 0.6624
11 Be 0.7318 0.7342 0.3376
12 Be 0.7342 0.7318 0.8376
13 S 0.0031 0.9969 0.2500
14 S 0.1333 0.4727 0.1338
15 S 0.1376 0.3342 0.5375
16 S 0.3342 0.1376 0.0375
17 S 0.4189 0.5811 0.7500
18 S 0.4727 0.1333 0.6338
19 S 0.5273 0.8667 0.3662
20 S 0.5811 0.4189 0.2500
21 S 0.6658 0.8624 0.9625
22 S 0.8624 0.6658 0.4625
23 S 0.8667 0.5273 0.8662
24 S 0.9969 0.0031 0.7500

2.
First-principles (PBE) data for a relaxed structure of SrBe3S, as listed in Alexandria.

Summary:
* uncorrected formation energy: 703 meV per atom
* raw total energy: -2.6944 eV per atom
* ΔE to the lowest computed polymorph: 0 meV per atom

Cell: 4.4630 4.4630 4.4630 Å, 90.00 90.00 90.00°
Sites, in units of the cell vectors:
1 Sr 0.0000 0.0000 0.0000
2 Be 0.0000 0.5000 0.5000
3 Be 0.5000 0.0000 0.5000
4 Be 0.5000 0.5000 0.0000
5 S 0.5000 0.5000 0.5000

3.
First-principles (PBE) data for a relaxed structure of SrBeS3, as listed in Alexandria.

Summary:
* uncorrected formation energy: -733 meV per atom
* raw total energy: -4.2910 eV per atom
* ΔE to the lowest computed polymorph: 0 meV per atom

Cell: 4.5409 4.5409 4.5409 Å, 90.00 90.00 90.00°
Sites, in units of the cell vectors:
1 Sr 0.0000 0.0000 0.0000
2 Be 0.5000 0.5000 0.5000
3 S 0.0000 0.5000 0.5000
4 S 0.5000 0.0000 0.5000
5 S 0.5000 0.5000 0.0000

4.
First-principles (PBE) data for a relaxed structure of SrBeS2, as listed in Alexandria.

Summary:
* uncorrected formation energy: -1453 meV per atom
* raw total energy: -4.8683 eV per atom

Cell: 6.0007 6.0007 6.0007 Å, 113.87 113.87 100.99°
Sites, in units of the cell vectors:
1 Sr 0.0000 0.0000 0.0000
2 Sr 0.7500 0.2500 0.5000
3 Be 0.2500 0.7500 0.5000
4 Be 0.5000 0.5000 0.0000
5 S 0.2244 0.6250 0.0993
6 S 0.3750 0.4744 0.5994
7 S 0.5256 0.1250 0.9006
8 S 0.8750 0.7756 0.4006

5.
First-principles (PBE) data for a relaxed structure of SrBe2S, as listed in Alexandria.

Summary:
* uncorrected formation energy: 30 meV per atom
* raw total energy: -3.2858 eV per atom

Cell: 5.9081 5.9081 5.9081 Å, 103.19 103.19 122.94°
Sites, in units of the cell vectors:
1 Sr 0.0000 0.0000 0.0000
2 Sr 0.7500 0.2500 0.5000
3 Be 0.2076 0.6250 0.0826
4 Be 0.3750 0.4576 0.5826
5 Be 0.5424 0.1250 0.9174
6 Be 0.8750 0.7924 0.4174
7 S 0.2500 0.7500 0.5000
8 S 0.5000 0.5000 0.0000

6.
First-principles (PBE) data for a relaxed structure of SrBeS2, as listed in Alexandria.

Summary:
* uncorrected formation energy: -1347 meV per atom
* raw total energy: -4.7631 eV per atom

Cell: 7.1437 7.1437 7.1437 Å, 37.29 37.29 37.29°
Sites, in units of the cell vectors:
1 Sr 0.0000 0.0000 0.0000
2 Be 0.5000 0.5000 0.5000
3 S 0.4059 0.4059 0.4059
4 S 0.5941 0.5941 0.5941

7.
First-principles (PBE) data for a relaxed structure of Sr2BeS, as listed in Alexandria.

Summary:
* uncorrected formation energy: -395 meV per atom
* raw total energy: -3.1997 eV per atom

Cell: 7.0028 7.0028 7.0028 Å, 111.01 111.01 106.43°
Sites, in units of the cell vectors:
1 Sr 0.0997 0.1250 0.4747
2 Sr 0.3750 0.9003 0.0253
3 Sr 0.6503 0.6250 0.5253
4 Sr 0.8750 0.3497 0.9747
5 Be 0.2500 0.7500 0.5000
6 Be 0.5000 0.5000 0.0000
7 S 0.0000 0.0000 0.0000
8 S 0.7500 0.2500 0.5000

8.
First-principles (PBE) data for a relaxed structure of SrBeS3, as listed in Alexandria.

Summary:
* uncorrected formation energy: 831 meV per atom
* raw total energy: -2.7272 eV per atom
* ΔE to the lowest computed polymorph: 1564 meV per atom

Cell: 5.6565 5.6565 5.6565 Å, 90.00 90.00 90.00°
Sites, in units of the cell vectors:
1 Sr 0.0000 0.0000 0.0000
2 Be 0.5000 0.5000 0.5000
3 S 0.0000 0.0000 0.5000
4 S 0.0000 0.5000 0.0000
5 S 0.5000 0.0000 0.0000